Crystalline Ba3MgTe2O9 at its relaxed geometry. Source: Alexandria, functional GGA-PBE.

* V: 222 Å³ per cell
* formation energy (no corrections): -31.204 eV per formula unit
* symmetry: P-3m1
* final energy: -89.47 eV for the cell shown

The structure in CIF format:
```
data_Ba3MgTe2O9
_symmetry_space_group_name_H-M 'P 1'
_symmetry_Int_Tables_number 1
_cell_length_a 5.941
_cell_length_b 5.941
_cell_length_c 7.278
_cell_angle_alpha 90.00
_cell_angle_beta 90.00
_cell_angle_gamma 120.00
loop_
_symmetry_equiv_pos_as_xyz
'x,y,z'
loop_
_atom_site_label
_atom_site_type_symbol
_atom_site_fract_x
_atom_site_fract_y
_atom_site_fract_z
_atom_site_occupancy
O1 O 0.173 0.345 0.331 1
O2 O 0.500 0.000 0.000 1
Te1 Te 0.333 0.667 0.180 1
Te2 Te 0.667 0.333 0.820 1
O3 O 0.345 0.173 0.669 1
O4 O 0.000 0.500 0.000 1
Ba1 Ba 0.333 0.667 0.667 1
O5 O 0.500 0.500 0.000 1
Ba2 Ba 0.000 0.000 0.000 1
O6 O 0.655 0.827 0.331 1
Ba3 Ba 0.667 0.333 0.333 1
Mg1 Mg 0.000 0.000 0.500 1
O7 O 0.827 0.173 0.669 1
O8 O 0.827 0.655 0.669 1
O9 O 0.173 0.827 0.331 1
```